DFT (PBE with a Hubbard U) results for an optimized crystal structure of Li4Cr3Co2Sn3O16.

The value obtained for the spin magnetization is 0.09 μB/f.u. The value obtained for the total energy is -0.4656 Ry/atom. Its calculated volume is 11.093 Å³/atom. The space group is P1.

Cell and atoms, written as POSCAR:
```
Li4Cr3Co2Sn3O16
1.0
-1.201 5.105 -3.079
3.563 0.210 4.932
7.840 -1.662 -5.406
Li Cr Co Sn O
4 3 2 3 16
Cartesian
7.409 2.012 -5.163
10.029 3.553 -3.630
6.263 4.400 -0.863
5.097 1.207 0.089
3.019 4.030 -0.492
8.344 -0.169 -0.204
7.798 2.338 -1.754
4.211 2.752 -3.089
9.764 0.264 -3.006
1.846 1.410 -1.389
1.259 3.943 -2.893
6.657 -0.240 -2.696
4.885 0.649 -3.503
2.173 2.114 -3.326
1.174 3.322 -0.913
4.789 4.778 0.069
8.704 3.949 -2.523
4.276 3.270 -4.950
3.780 2.245 -1.154
3.232 4.487 -2.438
1.657 0.720 0.577
6.188 3.451 -2.553
8.469 -1.052 -1.991
7.925 1.234 -3.413
6.761 0.827 -0.923
3.535 0.808 3.056
9.388 1.223 -1.191
2.911 3.402 1.490
```